Density functional theory data (PBE-GGA) for an optimized crystal structure of TiAlRe4.

Summary:
Calculated volume (Å³ per atom): 14.8
DOS at the Fermi energy (states/eV/atom): 0.205
Electronic total energy (eV/atom): -10.605
Formation energy (eV per atom): -0.3670

Cell lengths 4.2859, 4.2846, 5.2835 Å; angles 90.00, 113.93, 90.00 degrees
Fractional coordinates of all 6 atoms:
Re (0.6699, 0.0000, 0.3398)
Re (0.3301, 0.0000, 0.6602)
Re (0.1690, 0.5000, 0.3380)
Re (0.8310, 0.5000, 0.6620)
Ti (0.0000, 0.0000, 0.0000)
Al (0.5000, 0.5000, 0.0000)